# 1
Sb2PW: optimized geometry, GGA-PBE.

abc: 9.5533 9.5533 9.5533
angles: 19.53 19.53 19.53
Sites, in units of the cell vectors:
Sb1 0.0000 0.0000 0.0000
Sb2 0.2165 0.2165 0.2165
P1 0.7501 0.7501 0.7501
W1 0.4731 0.4731 0.4731

## Properties
**Crystal system**: trigonal
**Magnetization**: 0.000 μB/f.u.
**ΔE_f (raw)**: 69 kJ/mol of formula units


# 2
Sb2PW: optimized geometry, GGA-PBE.

abc: 4.8689 4.8689 3.3109
angles: 90.00 90.00 90.00
Sites, in units of the cell vectors:
Sb1 0.0000 0.5000 0.0000
Sb2 0.5000 0.0000 0.0000
P1 0.0000 0.0000 0.5000
W1 0.5000 0.5000 0.5000

## Properties
**Crystal system**: tetragonal
**Magnetization**: 0.000 μB/f.u.
**ΔE_f (raw)**: 321 kJ/mol of formula units


# 3
SbPW2: optimized geometry, GGA-PBE.

abc: 8.1309 8.1309 8.1309
angles: 22.24 22.24 22.24
Sites, in units of the cell vectors:
Sb1 0.0000 0.0000 0.0000
P1 0.5000 0.5000 0.5000
W1 0.2387 0.2387 0.2387
W2 0.7613 0.7613 0.7613

## Properties
**Crystal system**: trigonal
**Magnetization**: 0.000 μB/f.u.
**ΔE_f (raw)**: 155 kJ/mol of formula units


# 4
SbP2W: optimized geometry, GGA-PBE.

abc: 4.5714 4.5714 4.5714
angles: 60.00 60.00 60.00
Sites, in units of the cell vectors:
Sb1 0.0000 0.0000 0.0000
P1 0.5000 0.5000 0.5000
P2 0.7500 0.7500 0.7500
W1 0.2500 0.2500 0.2500

## Properties
**Crystal system**: cubic
**Magnetization**: 0.000 μB/f.u.
**ΔE_f (raw)**: 303 kJ/mol of formula units


# 5
Sb2PW: optimized geometry, GGA-PBE.

abc: 7.4206 7.4206 7.4206
angles: 151.93 151.43 40.48
Sites, in units of the cell vectors:
Sb1 0.0000 0.0000 0.0000
Sb2 0.7264 0.2264 0.5000
P1 0.2819 0.7819 0.5000
W1 0.4012 0.4012 0.0000

## Properties
**Crystal system**: orthorhombic
**Magnetization**: 0.000 μB/f.u.
**ΔE_f (raw)**: 138 kJ/mol of formula units


# 6
SbP2W: optimized geometry, GGA-PBE.

abc: 5.1231 5.1231 5.1231
angles: 142.26 122.68 70.69
Sites, in units of the cell vectors:
Sb1 0.0000 0.0000 0.0000
P1 0.5223 0.5223 0.0000
P2 0.7533 0.2533 0.5000
W1 0.3073 0.8073 0.5000

## Properties
**Crystal system**: orthorhombic
**Magnetization**: 0.000 μB/f.u.
**ΔE_f (raw)**: 232 kJ/mol of formula units


# 7
SbP2W: optimized geometry, GGA-PBE.

abc: 3.5744 4.5396 4.7476
angles: 90.00 99.91 90.00
Sites, in units of the cell vectors:
Sb1 0.0000 0.0000 0.0000
P1 0.2817 0.5000 0.6475
P2 0.7183 0.5000 0.3525
W1 0.5000 0.0000 0.5000

## Properties
**Crystal system**: monoclinic
**Magnetization**: 0.000 μB/f.u.
**ΔE_f (raw)**: 140 kJ/mol of formula units


# 8
Sb3PW: optimized geometry, GGA-PBE.

abc: 5.0259 5.0259 5.0259
angles: 90.00 90.00 90.00
Sites, in units of the cell vectors:
Sb1 0.0000 0.0000 0.5000
Sb2 0.0000 0.5000 0.0000
Sb3 0.5000 0.0000 0.0000
P1 0.0000 0.0000 0.0000
W1 0.5000 0.5000 0.5000

## Properties
**Crystal system**: cubic
**Magnetization**: 2.614 μB/f.u.
**ΔE_f (raw)**: 663 kJ/mol of formula units


# 9
SbPW2: optimized geometry, GGA-PBE.

abc: 3.2926 3.2926 6.3155
angles: 90.00 90.00 90.00
Sites, in units of the cell vectors:
Sb1 0.0000 0.0000 0.0000
P1 0.5000 0.5000 0.6585
W1 0.0000 0.0000 0.5341
W2 0.5000 0.5000 0.2474

## Properties
**Crystal system**: tetragonal
**Magnetization**: 0.000 μB/f.u.
**ΔE_f (raw)**: 47 kJ/mol of formula units


# 10
SbPW3: optimized geometry, GGA-PBE.

abc: 4.9040 4.9040 4.9040
angles: 90.00 90.00 90.00
Sites, in units of the cell vectors:
Sb1 0.0000 0.0000 0.0000
P1 0.5000 0.5000 0.5000
W1 0.0000 0.0000 0.5000
W2 0.0000 0.5000 0.0000
W3 0.5000 0.0000 0.0000

## Properties
**Crystal system**: cubic
**Magnetization**: 0.000 μB/f.u.
**ΔE_f (raw)**: 1389 kJ/mol of formula units


# 11
Sb2PW: optimized geometry, GGA-PBE.

abc: 4.7932 4.7932 4.7932
angles: 60.00 60.00 60.00
Sites, in units of the cell vectors:
Sb1 0.0000 0.0000 0.0000
Sb2 0.2500 0.2500 0.2500
P1 0.7500 0.7500 0.7500
W1 0.5000 0.5000 0.5000

## Properties
**Crystal system**: cubic
**Magnetization**: 0.000 μB/f.u.
**ΔE_f (raw)**: 303 kJ/mol of formula units


# 12
SbP2W: optimized geometry, GGA-PBE.

abc: 6.9879 6.9879 6.9879
angles: 130.48 130.48 72.63
Sites, in units of the cell vectors:
Sb1 0.0000 0.0000 0.0000
Sb2 0.7500 0.2500 0.5000
P1 0.1799 0.6250 0.0549
P2 0.3750 0.4299 0.5549
P3 0.5701 0.1250 0.9451
P4 0.8750 0.8201 0.4451
W1 0.2500 0.7500 0.5000
W2 0.5000 0.5000 0.0000

## Properties
**Crystal system**: tetragonal
**Magnetization**: 0.000 μB/f.u.
**ΔE_f (raw)**: 161 kJ/mol of formula units


# 13
Sb3PW: optimized geometry, GGA-PBE.

abc: 5.1956 5.1956 5.1956
angles: 90.00 90.00 90.00
Sites, in units of the cell vectors:
Sb1 0.0000 0.0000 0.5000
Sb2 0.0000 0.5000 0.0000
Sb3 0.5000 0.0000 0.0000
P1 0.5000 0.5000 0.5000
W1 0.0000 0.0000 0.0000

## Properties
**Crystal system**: cubic
**Magnetization**: 0.197 μB/f.u.
**ΔE_f (raw)**: 446 kJ/mol of formula units


# 14
SbPW2: optimized geometry, GGA-PBE.

abc: 5.2291 5.2291 3.4097
angles: 106.55 106.55 116.31
Sites, in units of the cell vectors:
Sb1 0.0000 0.0000 0.0000
P1 0.5000 0.5000 0.0000
W1 0.0000 0.5000 0.5000
W2 0.5000 0.0000 0.5000

## Properties
**Crystal system**: monoclinic
**Magnetization**: 0.000 μB/f.u.
**ΔE_f (raw)**: 312 kJ/mol of formula units


# 15
SbP2W: optimized geometry, GGA-PBE.

abc: 5.0026 5.0026 5.0026
angles: 131.91 131.91 70.37
Sites, in units of the cell vectors:
Sb1 0.0000 0.0000 0.0000
P1 0.5000 0.5000 0.0000
P2 0.7500 0.2500 0.5000
W1 0.2500 0.7500 0.5000

## Properties
**Crystal system**: tetragonal
**Magnetization**: 0.604 μB/f.u.
**ΔE_f (raw)**: 316 kJ/mol of formula units


# 16
SbPW2: optimized geometry, GGA-PBE.

abc: 3.0684 3.0684 8.0083
angles: 90.00 90.00 113.41
Sites, in units of the cell vectors:
Sb1 0.0000 0.0000 0.0000
P1 0.0000 0.0000 0.5000
W1 0.5000 0.5000 0.2922
W2 0.5000 0.5000 0.7078

## Properties
**Crystal system**: orthorhombic
**Magnetization**: 0.000 μB/f.u.
**ΔE_f (raw)**: 236 kJ/mol of formula units


# 17
SbP2W: optimized geometry, GGA-PBE.

abc: 8.3562 8.3562 8.3562
angles: 22.33 22.33 22.33
Sites, in units of the cell vectors:
Sb1 0.0000 0.0000 0.0000
P1 0.2327 0.2327 0.2327
P2 0.7673 0.7673 0.7673
W1 0.5000 0.5000 0.5000

## Properties
**Crystal system**: trigonal
**Magnetization**: 0.000 μB/f.u.
**ΔE_f (raw)**: 21 kJ/mol of formula units


# 18
SbP2W: optimized geometry, GGA-PBE.

abc: 3.3046 4.1411 5.0580
angles: 90.00 90.00 90.00
Sites, in units of the cell vectors:
Sb1 0.0000 0.0000 0.0000
P1 0.0000 0.5000 0.5000
P2 0.5000 0.5000 0.0000
W1 0.5000 0.0000 0.5000

## Properties
**Crystal system**: orthorhombic
**Magnetization**: 0.000 μB/f.u.
**ΔE_f (raw)**: 308 kJ/mol of formula units


# 19
SbPW2: optimized geometry, GGA-PBE.

abc: 4.5061 4.5061 3.1983
angles: 90.00 90.00 90.00
Sites, in units of the cell vectors:
Sb1 0.0000 0.0000 0.0000
P1 0.5000 0.5000 0.0000
W1 0.0000 0.5000 0.5000
W2 0.5000 0.0000 0.5000

## Properties
**Crystal system**: tetragonal
**Magnetization**: 0.000 μB/f.u.
**ΔE_f (raw)**: 182 kJ/mol of formula units


# 20
SbP2W: optimized geometry, GGA-PBE.

abc: 4.4187 4.4187 5.9703
angles: 94.97 94.97 43.73
Sites, in units of the cell vectors:
Sb1 0.0000 0.0000 0.0000
P1 0.5734 0.5734 0.6131
P2 0.7666 0.7666 0.3689
W1 0.2841 0.2841 0.6815

## Properties
**Crystal system**: monoclinic
**Magnetization**: 0.000 μB/f.u.
**ΔE_f (raw)**: 17 kJ/mol of formula units